! GGA-PBE CrGaAgOs2, optimized geometry; values from VASP
! Total moment   1.857 μB/f.u.
! Calculated formation energy   1.620 eV/atom
! Space-group type   P4/mmm (123)
&SYSTEM
  ibrav = 0, nat = 5, ntyp = 4
/
ATOMIC_SPECIES
Cr 52.00 Cr.upf
Os 190.23 Os.upf
Ga 69.72 Ga.upf
Ag 107.87 Ag.upf
CELL_PARAMETERS angstrom
-2.376 3.847 -0.590
-3.534 -2.429 -1.605
-1.661 -0.378 4.230
ATOMIC_POSITIONS crystal
Cr 0.000 0.500 0.000
Os 0.000 0.000 0.500
Os 0.500 0.000 0.000
Ga 0.000 0.000 0.000
Ag 0.500 0.500 0.500